11
Lattice="-2.4751 1.9265 3.9351 5.0724 -1.6003 3.9739 3.3209 7.7800 -4.9376" Properties=species:S:1:pos:R:3 comment="PBE Er8Tl2Si, relaxed" total_energy_ev_per_cell=-49.09 raw_formation_energy_ev_per_atom=-0.221 mass_density_g_cm3=9.61 pbc="T T T"
Er 2.4939 3.2081 -0.0019
Er 4.0151 -0.8859 2.9591
Er 3.4242 4.8981 2.9734
Er 4.4922 6.3236 -0.2702
Er 1.9031 8.9921 0.0124
Er 1.5250 6.1106 -2.0323
Er 4.3931 1.9956 5.0038
Er 1.4259 1.7826 3.2417
Tl 4.5899 1.9850 1.9152
Tl 1.3283 6.1212 1.0563
Si -1.2376 0.9632 1.9676